This record from the Alexandria database describes an optimized crystal structure of Nd2CdIn9. The functional is PBE.

E_form   -6.32 kcal/mol of atoms

a = 4.744 Å, b = 4.744 Å, c = 13.943 Å
α = 90.00°, β = 90.00°, γ = 90.00°
Space group P4/mmm (No. 123)
One atom of each set of equivalent atoms:
Nd1 0.000 0.000 0.167
Cd1 0.000 0.000 0.500
In1 0.000 0.500 0.000
In2 0.000 0.500 0.342
In3 0.500 0.500 0.165
In4 0.500 0.500 0.500